LaHoH4 | PBE | optimized geometry

a b c (Å): 3.7543 3.7543 5.4790
angles (deg): 90.00 90.00 90.00
Atoms (fractional coordinates):
H1 0.5000 0.0000 0.2759
H2 0.0000 0.5000 0.7241
H3 0.0000 0.5000 0.2759
H4 0.5000 0.0000 0.7241
Ho1 0.0000 0.0000 0.5000
La1 0.5000 0.5000 0.0000

Summary:
raw total energy	-4.488	eV/atom
volume	77	Å³ per cell
total magnetic moment	0.007	μB per formula unit
theoretical density	6.620	Mg/m³


HoMg2H6 | PBE | optimized geometry

a b c (Å): 3.5130 3.5130 7.8925
angles (deg): 90.00 90.00 90.00
Atoms (fractional coordinates):
H1 0.5000 0.5000 0.5000
H2 0.0000 0.5000 0.8146
H3 0.0000 0.5000 0.1854
H4 0.5000 0.0000 0.8146
H5 0.5000 0.5000 0.0000
H6 0.5000 0.0000 0.1854
Mg1 0.5000 0.5000 0.2784
Mg2 0.5000 0.5000 0.7216
Ho1 0.0000 0.0000 0.0000

Summary:
raw total energy	-3.348	eV/atom
volume	97	Å³ per cell
total magnetic moment	0.040	μB per formula unit
theoretical density	3.743	Mg/m³


NdHoH4 | PBE | optimized geometry

a b c (Å): 3.7271 3.7271 5.3212
angles (deg): 90.00 90.00 90.00
Atoms (fractional coordinates):
H1 0.0000 0.5000 0.7320
H2 0.5000 0.0000 0.7320
H3 0.5000 0.0000 0.2680
H4 0.0000 0.5000 0.2680
Ho1 0.0000 0.0000 0.5000
Nd1 0.5000 0.5000 0.0000

Summary:
raw total energy	-4.466	eV/atom
volume	74	Å³ per cell
total magnetic moment	0.002	μB per formula unit
theoretical density	7.036	Mg/m³


HoNi2H6 | PBE | optimized geometry

a b c (Å): 4.3235 4.3235 4.0502
angles (deg): 90.00 90.00 120.00
Atoms (fractional coordinates):
H1 0.4997 0.0000 0.7605
H2 0.5003 0.5003 0.7605
H3 0.5003 0.0000 0.2395
H4 0.4997 0.4997 0.2395
H5 0.0000 0.4997 0.7605
H6 0.0000 0.5003 0.2395
Ni1 0.3333 0.6667 0.5000
Ni2 0.6667 0.3333 0.5000
Ho1 0.0000 0.0000 0.0000

Summary:
raw total energy	-4.353	eV/atom
volume	66	Å³ per cell
total magnetic moment	0.001	μB per formula unit
theoretical density	7.303	Mg/m³


PrHoH2O4 | PBE | optimized geometry

a b c (Å): 4.3570 3.6841 6.0992
angles (deg): 90.00 109.13 90.00
Atoms (fractional coordinates):
H1 0.4781 0.5000 0.5558
H2 0.5003 0.0000 0.3914
O1 0.7457 0.0000 0.9733
O2 0.2548 0.5000 0.5561
O3 0.7359 0.0000 0.4336
O4 0.2784 0.5000 0.0740
Ho1 0.8393 0.5000 0.2006
Pr1 0.1675 0.0000 0.8151

Summary:
raw total energy	-7.068	eV/atom
volume	92	Å³ per cell
total magnetic moment	0.000	μB per formula unit
theoretical density	6.676	Mg/m³


TbHoH2O4 | PBE | optimized geometry

a b c (Å): 4.2912 3.6013 5.9313
angles (deg): 90.00 109.47 90.00
Atoms (fractional coordinates):
O1 0.2529 0.0000 0.5618
O2 0.7343 0.5000 0.9509
O3 0.2691 0.0000 0.0569
O4 0.7454 0.5000 0.4345
H1 0.4893 0.0000 0.5866
H2 0.5084 0.5000 0.4067
Ho1 0.8357 0.0000 0.1919
Tb1 0.1649 0.5000 0.8107

Summary:
raw total energy	-7.126	eV/atom
volume	86	Å³ per cell
total magnetic moment	0.002	μB per formula unit
theoretical density	7.491	Mg/m³